Entry 1:
Compound: Pr2Tm3In4
Source: Alexandria
Functional: PBE-GGA
Structure: optimized geometry

Summary:
* formation energy: -0.31 eV/atom
* space-group type: Cmce

Cell lengths 6.977, 8.875, 9.269 Å; angles 90.00, 112.11, 90.00 degrees
Fractional coordinates of all 18 atoms:
Pr  0.105  0.582  0.211
Pr  0.895  0.418  0.789
Pr  0.395  0.082  0.789
Pr  0.605  0.918  0.211
Tm  0.000  0.000  0.000
Tm  0.500  0.500  0.000
Tm  0.525  0.750  0.551
Tm  0.975  0.250  0.449
Tm  0.475  0.250  0.449
Tm  0.025  0.750  0.551
In  0.703  0.750  0.906
In  0.797  0.250  0.094
In  0.297  0.250  0.094
In  0.203  0.750  0.906
In  0.178  0.961  0.355
In  0.822  0.039  0.645
In  0.322  0.461  0.645
In  0.678  0.539  0.355


Entry 2:
Compound: LiZrInNi
Source: Alexandria
Functional: PBE-GGA
Structure: optimized geometry

Summary:
* formation energy: -0.40 eV/atom
* space-group type: F-43m

Cell lengths 4.501, 4.501, 4.501 Å; angles 60.00, 60.00, 60.00 degrees
Fractional coordinates of all 4 atoms:
Ni  0.250  0.250  0.250
Li  0.750  0.750  0.750
Zr  0.000  0.000  0.000
In  0.500  0.500  0.500


Entry 3:
Compound: SrPrP2Pd4
Source: Alexandria
Functional: PBE-GGA
Structure: optimized geometry

Summary:
* formation energy: -0.72 eV/atom
* space-group type: P4/mmm

Cell lengths 4.142, 4.142, 9.983 Å; angles 90.00, 90.00, 90.00 degrees
Fractional coordinates of all 8 atoms:
Sr  0.000  0.000  0.500
Pr  0.000  0.000  0.000
P  0.500  0.500  0.337
P  0.500  0.500  0.663
Pd  0.000  0.500  0.221
Pd  0.500  0.000  0.779
Pd  0.500  0.000  0.221
Pd  0.000  0.500  0.779


Entry 4:
Compound: Ba3Hg3Sb4
Source: Alexandria
Functional: PBE-GGA
Structure: optimized geometry

Summary:
* energy relative to the elements, uncorrected: -618 meV per atom
* space-group type: I-43d

Cell lengths 9.523, 9.523, 9.523 Å; angles 109.47, 109.47, 109.47 degrees
Fractional coordinates of all 20 atoms:
Ba  0.625  0.750  0.875
Ba  0.875  0.250  0.625
Ba  0.125  0.375  0.250
Ba  0.375  0.125  0.750
Ba  0.250  0.875  0.125
Ba  0.750  0.625  0.375
Hg  0.125  0.750  0.375
Hg  0.375  0.250  0.125
Hg  0.625  0.875  0.250
Hg  0.875  0.625  0.750
Hg  0.250  0.375  0.625
Hg  0.750  0.125  0.875
Sb  0.000  0.000  0.337
Sb  0.500  0.337  0.500
Sb  0.663  0.163  0.163
Sb  0.000  0.000  0.837
Sb  0.837  0.500  0.000
Sb  0.500  0.837  0.500
Sb  0.337  0.500  0.000
Sb  0.163  0.663  0.663


Entry 5:
Compound: CaSiBO
Source: Alexandria
Functional: PBE-GGA
Structure: optimized geometry

Summary:
* energy relative to the elements, uncorrected: -976 meV per atom
* relative energy among the computed polymorphs: 0.207 eV/atom
* space-group type: Cm

Cell lengths 5.257, 3.588, 7.724 Å; angles 90.00, 116.32, 90.00 degrees
Fractional coordinates of all 8 atoms:
Ca  0.980  0.000  0.902
Ca  0.980  0.500  0.402
B  0.612  0.000  0.103
B  0.612  0.500  0.603
Si  0.500  0.000  0.461
Si  0.500  0.500  0.961
O  0.662  0.000  0.304
O  0.662  0.500  0.804


Entry 6:
Compound: Al2AgRu2
Source: Alexandria
Functional: PBE-GGA
Structure: optimized geometry

Summary:
* formation energy: -0.26 eV/atom
* relative energy among the computed polymorphs: 0.000 eV/atom
* space-group type: P4/mbm

Cell lengths 6.931, 6.931, 3.084 Å; angles 90.00, 90.00, 90.00 degrees
Fractional coordinates of all 10 atoms:
Ru  0.158  0.658  0.500
Ru  0.658  0.842  0.500
Ru  0.842  0.342  0.500
Ru  0.342  0.158  0.500
Al  0.363  0.863  0.000
Al  0.863  0.637  0.000
Al  0.637  0.137  0.000
Al  0.137  0.363  0.000
Ag  0.000  0.000  0.000
Ag  0.500  0.500  0.000


Entry 7:
Compound: CdAuBr2
Source: Alexandria
Functional: PBE-GGA
Structure: optimized geometry

Summary:
* energy relative to the elements, uncorrected: -48 meV per atom
* relative energy among the computed polymorphs: 0.216 eV/atom
* space-group type: I-4m2

Cell lengths 7.369, 7.369, 7.369 Å; angles 148.35, 148.35, 45.36 degrees
Fractional coordinates of all 4 atoms:
Au  0.750  0.250  0.500
Br  0.000  0.000  0.000
Br  0.250  0.750  0.500
Cd  0.500  0.500  0.000


Entry 8:
Compound: Tl2AgOs
Source: Alexandria
Functional: PBE-GGA
Structure: optimized geometry

Summary:
* formation energy: 0.81 eV/atom
* relative energy among the computed polymorphs: 0.166 eV/atom
* space-group type: Fm-3m

Cell lengths 4.831, 4.831, 4.831 Å; angles 60.00, 60.00, 60.00 degrees
Fractional coordinates of all 4 atoms:
Tl  0.250  0.250  0.250
Tl  0.750  0.750  0.750
Os  0.500  0.500  0.500
Ag  0.000  0.000  0.000